Record 1
DFT (PBE) results for a relaxed structure of Cs3Zr6CBr15.

abc: 13.291 13.291 14.425
angles: 117.43 117.43 60.00
Fractional positions:
Br  0.826  0.334  0.004
Br  0.844  0.826  0.004
Br  0.334  0.844  0.004
Br  0.576  0.246  0.246
Br  0.246  0.425  0.246
Br  0.425  0.576  0.246
Br  0.404  0.096  0.250
Br  0.750  0.404  0.250
Br  0.096  0.750  0.250
Br  0.924  0.075  0.254
Br  0.075  0.254  0.254
Br  0.254  0.924  0.254
Br  0.656  0.166  0.496
Br  0.674  0.656  0.496
Br  0.166  0.674  0.496
Br  0.834  0.326  0.504
Br  0.326  0.344  0.504
Br  0.344  0.834  0.504
Br  0.746  0.076  0.746
Br  0.925  0.746  0.746
Br  0.076  0.925  0.746
Br  0.904  0.250  0.750
Br  0.250  0.596  0.750
Br  0.596  0.904  0.750
Br  0.575  0.424  0.754
Br  0.754  0.575  0.754
Br  0.424  0.754  0.754
Br  0.666  0.156  0.996
Br  0.156  0.174  0.996
Br  0.174  0.666  0.996
C  0.000  0.000  0.000
C  0.500  0.500  0.500
Cs  0.500  0.000  0.000
Cs  0.000  0.500  0.000
Cs  0.500  0.500  0.000
Cs  0.000  0.000  0.500
Cs  0.500  0.000  0.500
Cs  0.000  0.500  0.500
Zr  0.172  0.044  0.108
Zr  0.893  0.172  0.108
Zr  0.044  0.893  0.108
Zr  0.456  0.328  0.392
Zr  0.607  0.456  0.392
Zr  0.328  0.607  0.392
Zr  0.672  0.393  0.608
Zr  0.393  0.544  0.608
Zr  0.544  0.672  0.608
Zr  0.956  0.107  0.892
Zr  0.107  0.828  0.892
Zr  0.828  0.956  0.892

Calculated values
Volume (A^3/atom): 37.37
Final energy (eV per atom): -5.010
Space group: R-3c


Record 2
DFT (PBE) results for a relaxed structure of BaSrHg4.

abc: 6.477 6.477 6.477
angles: 132.58 102.76 95.88
Fractional positions:
Ba  0.461  0.461  0.000
Hg  0.039  0.835  0.203
Hg  0.464  0.168  0.297
Hg  0.871  0.168  0.703
Hg  0.632  0.835  0.797
Sr  0.033  0.533  0.500

Calculated values
Volume (A^3/atom): 30.45
Final energy (eV per atom): -1.281
Space group: Imm2


Record 3
DFT (PBE) results for a relaxed structure of FeCoBiAu.

abc: 4.533 4.533 4.533
angles: 60.00 60.00 60.00
Each line ends with the local moment (μB).
Fractional positions:
Au  0.500  0.500  0.500  0.04
Bi  0.000  0.000  0.000  -0.05
Co  0.750  0.750  0.750  1.16
Fe  0.250  0.250  0.250  2.56

Calculated values
Volume (A^3/atom): 16.46
Final energy (eV per atom): -5.285
Space group: F-43m
Distance to the lowest polymorph of the same formula (meV per atom): 0